[1]
A relaxed structure of Ba2LiBiH. Source: Alexandria, functional GGA-PBE.

Results
**Calculated total energy**: -3.159 eV per atom

Cell: 5.603 5.603 4.756 Å, 90.00 90.00 90.00°
Fractional coordinates of all 5 atoms:
Li (0.000, 0.000, 0.500)
Ba (0.000, 0.500, 0.000)
Ba (0.500, 0.000, 0.000)
H (0.000, 0.000, 0.000)
Bi (0.500, 0.500, 0.500)

[2]
A relaxed structure of TmIn7. Source: Alexandria, functional GGA-PBE.

Results
**ΔH_f (0 K)**: -0.142 eV per atom

Cell: 6.653 6.653 6.653 Å, 60.00 60.00 60.00°
Fractional coordinates of all 8 atoms:
In (0.500, 0.000, 0.500)
In (0.500, 0.000, 0.000)
In (0.500, 0.500, 0.500)
In (0.000, 0.000, 0.500)
Tm (0.000, 0.000, 0.000)
In (0.000, 0.500, 0.000)
In (0.500, 0.500, 0.000)
In (0.000, 0.500, 0.500)